# 1
Material: CaPm7Er2
Method: DFT, PBE
State: relaxed

Computed properties:
**SG**: No. 12
**Uncorrected energy**: -42.30 eV/cell
**N(E_F)**: 1.268 states/eV/atom
**Spin magnetization**: 0.00 Bohr magnetons per cell

a = 9.6122 Å, b = 9.6122 Å, c = 5.5047 Å
α = 106.59°, β = 106.59°, γ = 48.03°
Atoms (fractional coordinates):
Ca1 0.0000 0.0000 0.0000
Pm1 0.0671 0.6686 0.3675
Pm2 0.3314 0.9329 0.6325
Pm3 0.3368 0.3368 0.8365
Pm4 0.5000 0.5000 0.5000
Pm5 0.6632 0.6632 0.1635
Pm6 0.6686 0.0671 0.3675
Pm7 0.9329 0.3314 0.6325
Er1 0.2148 0.2148 0.2148
Er2 0.7852 0.7852 0.7852


# 2
Material: CaPm3Er
Method: DFT, PBE
State: relaxed

Computed properties:
**SG**: No. 63
**Uncorrected energy**: -38.36 eV/cell
**N(E_F)**: 1.459 states/eV/atom
**Spin magnetization**: 0.00 Bohr magnetons per cell

a = 9.6656 Å, b = 9.6656 Å, c = 6.4111 Å
α = 90.00°, β = 90.00°, γ = 139.36°
Atoms (fractional coordinates):
Ca1 0.1835 0.8165 0.7500
Ca2 0.8165 0.1835 0.2500
Pm1 0.0000 0.0000 0.0000
Pm2 0.0000 0.0000 0.5000
Pm3 0.1256 0.3956 0.7500
Pm4 0.3956 0.1256 0.2500
Pm5 0.6044 0.8744 0.7500
Pm6 0.8744 0.6044 0.2500
Er1 0.4538 0.5462 0.2500
Er2 0.5462 0.4538 0.7500


# 3
Material: CaPm6Er12
Method: DFT, PBE
State: relaxed

Computed properties:
**SG**: No. 166
**Uncorrected energy**: -76.71 eV/cell
**N(E_F)**: 1.491 states/eV/atom
**Spin magnetization**: 0.00 Bohr magnetons per cell

a = 9.2790 Å, b = 9.2790 Å, c = 9.2790 Å
α = 106.49°, β = 106.49°, γ = 106.49°
Atoms (fractional coordinates):
Ca1 0.0000 0.0000 0.0000
Pm1 0.2962 0.6870 0.6870
Pm2 0.3130 0.3130 0.7038
Pm3 0.3130 0.7038 0.3130
Pm4 0.6870 0.2962 0.6870
Pm5 0.6870 0.6870 0.2962
Pm6 0.7038 0.3130 0.3130
Er1 0.0971 0.3363 0.3363
Er2 0.1127 0.5000 0.8873
Er3 0.1127 0.8873 0.5000
Er4 0.3363 0.0971 0.3363
Er5 0.3363 0.3363 0.0971
Er6 0.5000 0.1127 0.8873
Er7 0.5000 0.8873 0.1127
Er8 0.6637 0.6637 0.9029
Er9 0.6637 0.9029 0.6637
Er10 0.8873 0.1127 0.5000
Er11 0.8873 0.5000 0.1127
Er12 0.9029 0.6637 0.6637


# 4
Material: CaPmEr2
Method: DFT, PBE
State: relaxed

Computed properties:
**SG**: No. 160
**Uncorrected energy**: -15.60 eV/cell
**N(E_F)**: 1.537 states/eV/atom
**Spin magnetization**: 0.00 Bohr magnetons per cell

a = 12.1684 Å, b = 12.1684 Å, c = 12.1684 Å
α = 17.02°, β = 17.02°, γ = 17.02°
Atoms (fractional coordinates):
Ca1 0.0000 0.0000 0.0000
Pm1 0.1657 0.1657 0.1657
Er1 0.5788 0.5788 0.5788
Er2 0.7535 0.7535 0.7535


# 5
Material: CaPm8Er4
Method: DFT, PBE
State: relaxed

Computed properties:
**SG**: No. 12
**Uncorrected energy**: -57.73 eV/cell
**N(E_F)**: 1.444 states/eV/atom
**Spin magnetization**: 0.00 Bohr magnetons per cell

a = 6.2666 Å, b = 6.2666 Å, c = 14.9241 Å
α = 93.77°, β = 93.77°, γ = 48.26°
Atoms (fractional coordinates):
Ca1 0.0000 0.0000 0.0000
Pm1 0.0765 0.0765 0.7654
Pm2 0.2335 0.2335 0.3102
Pm3 0.3065 0.3065 0.0806
Pm4 0.4606 0.4606 0.6142
Pm5 0.5394 0.5394 0.3858
Pm6 0.6935 0.6935 0.9194
Pm7 0.7665 0.7665 0.6898
Pm8 0.9235 0.9235 0.2346
Er1 0.1522 0.1522 0.5372
Er2 0.3791 0.3791 0.8406
Er3 0.6209 0.6209 0.1594
Er4 0.8478 0.8478 0.4628


# 6
Material: CaPm12Er2
Method: DFT, PBE
State: relaxed

Computed properties:
**SG**: No. 12
**Uncorrected energy**: -132.96 eV/cell
**N(E_F)**: 1.362 states/eV/atom
**Spin magnetization**: 0.00 Bohr magnetons per cell

a = 6.7962 Å, b = 6.7962 Å, c = 25.0561 Å
α = 92.28°, β = 92.28°, γ = 115.67°
Atoms (fractional coordinates):
Ca1 0.2490 0.2490 0.4957
Ca2 0.7510 0.7510 0.5043
Pm1 0.0557 0.5363 0.7041
Pm2 0.0671 0.5917 0.8298
Pm3 0.1205 0.1205 0.0746
Pm4 0.1523 0.6204 0.0551
Pm5 0.2207 0.2207 0.3518
Pm6 0.2373 0.7369 0.4207
Pm7 0.2631 0.7627 0.5793
Pm8 0.2775 0.2775 0.6374
Pm9 0.3462 0.3462 0.9179
Pm10 0.3796 0.8477 0.9449
Pm11 0.4083 0.9329 0.1702
Pm12 0.4637 0.9443 0.2959
Pm13 0.5363 0.0557 0.7041
Pm14 0.5917 0.0671 0.8298
Pm15 0.6204 0.1523 0.0551
Pm16 0.6538 0.6538 0.0821
Pm17 0.7225 0.7225 0.3626
Pm18 0.7369 0.2373 0.4207
Pm19 0.7627 0.2631 0.5793
Pm20 0.7793 0.7793 0.6482
Pm21 0.8477 0.3796 0.9449
Pm22 0.8795 0.8795 0.9254
Pm23 0.9329 0.4083 0.1702
Pm24 0.9443 0.4637 0.2959
Er1 0.0722 0.0722 0.7741
Er2 0.4430 0.4430 0.2240
Er3 0.5570 0.5570 0.7760
Er4 0.9278 0.9278 0.2259


no.,energy relative to the elements (eV/atom)
1,0.208
2,0.327
3,0.450
4,0.069
5,0.041
6,0.110